Record 1
Compound: DyPu2Pb3
Source: the Alexandria database
Functional: GGA-PBE
Structure: optimized geometry

Summary:
**Space-group type**: P4/mmm, No. 123
**Fermi-level density of states**: 16.56 states/eV/cell
**Formation energy**: -0.26 eV per atom

Cell lengths 3.4800, 3.4800, 13.8500 Å; angles 90.00, 90.00, 90.00 degrees
Fractional positions:
Dy 0.5000 0.5000 0.5000
Pu 0.5000 0.5000 0.8318
Pu 0.5000 0.5000 0.1682
Pb 0.0000 0.0000 0.0000
Pb 0.0000 0.0000 0.6632
Pb 0.0000 0.0000 0.3368

=====

Record 2
Compound: DyPu2Pb
Source: the Alexandria database
Functional: GGA-PBE
Structure: optimized geometry

Summary:
**Space-group type**: P4/mmm, No. 123
**Fermi-level density of states**: 10.00 states/eV/cell
**Formation energy**: -0.17 eV per atom
**Offset from the most stable computed form**: 0.00 eV/f.u.

Cell lengths 5.2066, 4.5913, 4.5913 Å; angles 90.00, 90.00, 90.00 degrees
Fractional positions:
Pb 0.5000 0.5000 0.5000
Dy 0.5000 0.0000 0.0000
Pu 0.0000 0.0000 0.5000
Pu 0.0000 0.5000 0.0000

=====

Record 3
Compound: Dy3PuPb12
Source: the Alexandria database
Functional: GGA-PBE
Structure: optimized geometry

Summary:
**Space-group type**: P4/mmm, No. 123
**Fermi-level density of states**: 17.73 states/eV/cell
**Formation energy**: -0.25 eV per atom

Cell lengths 4.8745, 4.8745, 19.4686 Å; angles 90.00, 90.00, 90.00 degrees
Fractional positions:
Dy 0.0000 0.0000 0.2487
Dy 0.0000 0.0000 0.5000
Dy 0.0000 0.0000 0.7513
Pu 0.0000 0.0000 0.0000
Pb 0.5000 0.5000 0.0000
Pb 0.5000 0.5000 0.2498
Pb 0.5000 0.5000 0.5000
Pb 0.5000 0.5000 0.7502
Pb 0.5000 0.0000 0.1249
Pb 0.5000 0.0000 0.3746
Pb 0.5000 0.0000 0.6254
Pb 0.5000 0.0000 0.8751
Pb 0.0000 0.5000 0.1249
Pb 0.0000 0.5000 0.3746
Pb 0.0000 0.5000 0.6254
Pb 0.0000 0.5000 0.8751

=====

Record 4
Compound: Dy2PuPb
Source: the Alexandria database
Functional: GGA-PBE
Structure: optimized geometry

Summary:
**Space-group type**: R-3m, No. 166
**Fermi-level density of states**: 10.28 states/eV/cell
**Formation energy**: -0.07 eV per atom
**Offset from the most stable computed form**: 0.44 eV/f.u.

Cell lengths 3.5192, 3.5192, 11.1450 Å; angles 80.92, 80.92, 60.00 degrees
Fractional positions:
Pb 0.0000 0.0000 0.0000
Dy 0.2514 0.2514 0.2459
Dy 0.7486 0.7486 0.7541
Pu 0.5000 0.5000 0.5000

=====

Question: Which of these has the highest formation energy?
Answer: Dy2PuPb

=====

Question: What is the formation energy in the third record?
Answer: -0.25 eV per atom

=====

Question: Which of these has the lowest Fermi-level density of states?
Answer: DyPu2Pb

=====

Question: Which formula does entry 1 have?
Answer: DyPu2Pb3